1.
# TlCu2Ru

TlCu2Ru after structural relaxation (PBE, the Alexandria database).

Output
energy above the most stable polymorph in this dataset = 257 meV/atom

Cell lengths 2.9084, 2.9084, 26.6559 Å; angles 90.00, 90.00, 120.00 degrees
Closest atoms and distances in Å follow each position.
Space group R-3m (No. 166, hexagonal axes)
Inequivalent atoms, fractional coordinates:
Tl (0.0000, 0.0000, 0.0000) [3 per cell]  6 Tl 2.91, 6 Cu 2.95
Cu (0.0000, 0.0000, 0.2424) [6 per cell]  3 Ru 2.63, 6 Cu 2.91
Ru (0.0000, 0.0000, 0.5000) [3 per cell]  6 Cu 2.63, 6 Ru 2.91


2.
# Nb4Re2Tc3

Nb4Re2Tc3 after structural relaxation (PBE, the Alexandria database).

Output
electronic total energy = -97.9 eV per formula unit

Cell lengths 4.5132, 4.5132, 8.2796 Å; angles 90.00, 90.00, 120.00 degrees
Closest atoms and distances in Å follow each position.
Space group P-3m1 (No. 164)
Inequivalent atoms, fractional coordinates:
Nb (0.0000, 0.0000, 0.1678) [2 per cell]  4 Tc 2.75-2.77, 3 Re 2.76, 1 Nb 2.78
Nb (0.3333, 0.6667, 0.3874) [2 per cell]  4 Tc 2.76-2.77, 4 Re 2.76-2.79
Re (0.3333, 0.6667, 0.7239) [2 per cell]  1 Tc 2.74, 7 Nb 2.76-2.79
Tc (0.0000, 0.0000, 0.5000) [1 per cell]  8 Nb 2.75-2.77
Tc (0.3333, 0.6667, 0.0543) [2 per cell]  1 Re 2.74, 3 Tc 2.76, 4 Nb 2.76-2.77


3.
# Nb2PCl

Nb2PCl after structural relaxation (PBE, the Alexandria database).

Output
energy above the most stable polymorph in this dataset = 339 meV/atom
energy relative to the elements, uncorrected = 0.139 eV per atom

Cell lengths 6.5377, 6.5377, 6.9060 Å; angles 90.00, 90.00, 90.00 degrees
Closest atoms and distances in Å follow each position.
Space group I-42d (No. 122)
Inequivalent atoms, fractional coordinates:
Nb (0.2457, 0.2500, 0.1250) [8 per cell]  2 P 2.45, 2 Cl 2.49
P (0.0000, 0.0000, 0.0000) [4 per cell]  4 Nb 2.45
Cl (0.0000, 0.0000, 0.5000) [4 per cell]  4 Nb 2.49